Entry 1:
Material: YCoPd3
Method: DFT, PBE
State: relaxed

a b c (Å): 4.985 4.985 4.985
angles (deg): 90.00 90.00 90.00
Fractional positions:
Y1 0.000 0.000 0.000
Co1 0.500 0.500 0.500
Pd1 0.000 0.000 0.500
Pd2 0.000 0.500 0.000
Pd3 0.500 0.000 0.000

Summary:
The value obtained for the formation energy is 506 kJ/mol of formula units. Its total energy is -23.9 eV per formula unit. Its polymorph energy (0 for the lowest one) is 1027 meV/atom.

=====

Entry 2:
Material: Y2CoPd2
Method: DFT, PBE
State: relaxed

a b c (Å): 7.262 7.262 3.909
angles (deg): 90.00 90.00 90.00
Fractional positions:
Y1 0.175 0.325 0.000
Y2 0.325 0.825 0.000
Y3 0.675 0.175 0.000
Y4 0.825 0.675 0.000
Co1 0.000 0.000 0.500
Co2 0.500 0.500 0.500
Pd1 0.133 0.633 0.500
Pd2 0.367 0.133 0.500
Pd3 0.633 0.867 0.500
Pd4 0.867 0.367 0.500

Summary:
The value obtained for the formation energy is -220 kJ/mol of formula units. Its total energy is -32.7 eV per formula unit. Its polymorph energy (0 for the lowest one) is 0 meV/atom.

=====

Entry 3:
Material: YCoPd2
Method: DFT, PBE
State: relaxed

a b c (Å): 4.623 4.623 4.623
angles (deg): 60.00 60.00 60.00
Fractional positions:
Y1 0.000 0.000 0.000
Co1 0.500 0.500 0.500
Pd1 0.250 0.250 0.250
Pd2 0.750 0.750 0.750

Summary:
The value obtained for the formation energy is -117 kJ/mol of formula units. Its total energy is -25.2 eV per formula unit. Its polymorph energy (0 for the lowest one) is 0 meV/atom.

=====

Entry 4:
Material: YCoPd2
Method: DFT, PBE
State: relaxed

a b c (Å): 9.554 9.554 9.554
angles (deg): 155.71 155.71 34.61
Fractional positions:
Y1 0.000 0.000 0.000
Y2 0.750 0.250 0.500
Co1 0.250 0.750 0.500
Co2 0.500 0.500 0.000
Pd1 0.156 0.625 0.031
Pd2 0.375 0.406 0.531
Pd3 0.594 0.125 0.969
Pd4 0.875 0.844 0.469

Summary:
The value obtained for the formation energy is -35 kJ/mol of formula units. Its total energy is -24.3 eV per formula unit. Its polymorph energy (0 for the lowest one) is 211 meV/atom.

=====

Entry 5:
Material: Y4CoPd3
Method: DFT, PBE
State: relaxed

a b c (Å): 3.448 3.448 14.188
angles (deg): 90.00 90.00 90.00
Fractional positions:
Y1 0.000 0.000 0.116
Y2 0.000 0.000 0.372
Y3 0.000 0.000 0.628
Y4 0.000 0.000 0.884
Co1 0.500 0.500 0.000
Pd1 0.500 0.500 0.247
Pd2 0.500 0.500 0.500
Pd3 0.500 0.500 0.753

Summary:
The value obtained for the formation energy is -528 kJ/mol of formula units. Its total energy is -54.0 eV per formula unit.

=====

Entry 6:
Material: YZrCoPd
Method: DFT, PBE
State: relaxed

a b c (Å): 4.754 4.754 4.754
angles (deg): 60.00 60.00 60.00
Fractional positions:
Y1 0.000 0.000 0.000
Zr1 0.500 0.500 0.500
Co1 0.750 0.750 0.750
Pd1 0.250 0.250 0.250

Summary:
The value obtained for the formation energy is -152 kJ/mol of formula units. Its total energy is -28.9 eV per formula unit.

=====

Entry 7:
Material: ZnCoPd2
Method: DFT, PBE
State: relaxed

a b c (Å): 9.114 9.114 9.114
angles (deg): 156.11 156.11 34.04
Fractional positions:
Zn1 0.000 0.000 0.000
Zn2 0.750 0.250 0.500
Co1 0.250 0.750 0.500
Co2 0.500 0.500 0.000
Pd1 0.128 0.625 0.003
Pd2 0.375 0.378 0.503
Pd3 0.622 0.125 0.997
Pd4 0.875 0.872 0.497

Summary:
The value obtained for the formation energy is 85 kJ/mol of formula units. Its total energy is -17.9 eV per formula unit.

=====

Entry 8:
Material: Zn3CoPd
Method: DFT, PBE
State: relaxed

a b c (Å): 4.445 4.445 4.445
angles (deg): 90.00 90.00 90.00
Fractional positions:
Zn1 0.000 0.000 0.500
Zn2 0.000 0.500 0.000
Zn3 0.500 0.000 0.000
Co1 0.000 0.000 0.000
Pd1 0.500 0.500 0.500

Summary:
The value obtained for the formation energy is 211 kJ/mol of formula units. Its total energy is -13.9 eV per formula unit. Its polymorph energy (0 for the lowest one) is 0 meV/atom.

=====

Entry 9:
Material: ZnCoPd2
Method: DFT, PBE
State: relaxed

a b c (Å): 4.440 4.440 2.842
angles (deg): 90.00 90.00 90.00
Fractional positions:
Zn1 0.000 0.000 0.000
Co1 0.500 0.500 0.000
Pd1 0.000 0.500 0.500
Pd2 0.500 0.000 0.500

Summary:
The value obtained for the formation energy is -65 kJ/mol of formula units. Its total energy is -19.4 eV per formula unit.

=====

Entry 10:
Material: Zn2CoPd8
Method: DFT, PBE
State: relaxed

a b c (Å): 6.508 6.508 4.628
angles (deg): 102.93 102.93 82.62
Fractional positions:
Zn1 0.146 0.146 0.027
Zn2 0.854 0.854 0.973
Co1 0.000 0.000 0.500
Pd1 0.154 0.679 0.703
Pd2 0.265 0.265 0.603
Pd3 0.321 0.846 0.297
Pd4 0.422 0.422 0.200
Pd5 0.578 0.578 0.800
Pd6 0.679 0.154 0.703
Pd7 0.735 0.735 0.397
Pd8 0.846 0.321 0.297

Summary:
The value obtained for the formation energy is 116 kJ/mol of formula units. Its total energy is -50.0 eV per formula unit. Its polymorph energy (0 for the lowest one) is 310 meV/atom.

=====

Entry 11:
Material: ZnCoPd2
Method: DFT, PBE
State: relaxed

a b c (Å): 2.802 2.802 7.109
angles (deg): 90.00 90.00 90.00
Fractional positions:
Zn1 0.000 0.000 0.000
Co1 0.000 0.000 0.500
Pd1 0.500 0.500 0.254
Pd2 0.500 0.500 0.746

Summary:
The value obtained for the formation energy is -81 kJ/mol of formula units. Its total energy is -19.6 eV per formula unit.

=====

Entry 12:
Material: ZnCoPd14
Method: DFT, PBE
State: relaxed

a b c (Å): 9.059 5.528 5.528
angles (deg): 60.59 90.00 90.00
Fractional positions:
Zn1 0.000 0.000 0.000
Co1 0.000 0.497 0.497
Pd1 0.000 0.003 0.504
Pd2 0.000 0.504 0.003
Pd3 0.239 0.329 0.826
Pd4 0.239 0.826 0.329
Pd5 0.247 0.330 0.330
Pd6 0.249 0.830 0.830
Pd7 0.500 0.159 0.159
Pd8 0.500 0.160 0.660
Pd9 0.500 0.659 0.659
Pd10 0.500 0.660 0.160
Pd11 0.751 0.830 0.830
Pd12 0.753 0.330 0.330
Pd13 0.761 0.329 0.826
Pd14 0.761 0.826 0.329

Summary:
The value obtained for the formation energy is -78 kJ/mol of formula units. Its total energy is -81.9 eV per formula unit.